The following is a PBE+U calculation of a geometry-optimized CrRuO3 structure, from Alexandria via LeMat-Bulk.

abc: 3.888 3.888 3.888
angles: 90.00 90.00 90.00
Fractional coordinates of all 5 atoms:
1 Cr 0.000 0.000 0.000
2 Ru 0.500 0.500 0.500
3 O 0.000 0.500 0.500
4 O 0.500 0.000 0.500
5 O 0.500 0.500 0.000

Computed properties:
Its total magnetization is 0.6635 μB/atom. The energy is -6.9523 eV per atom.